1.
Compound: Dy2PdPt2
Source: Alexandria via LeMat-Bulk
Functional: PBE-GGA
Structure: optimized geometry

Cell lengths 7.5096, 7.5096, 7.4588 Å; angles 90.00, 90.00, 90.00 degrees
Atoms (fractional coordinates):
Dy: 0.6724 0.8274 0.5000
Dy: 0.3276 0.1726 0.5000
Dy: 0.8276 0.3274 0.0000
Dy: 0.1724 0.6726 0.0000
Dy: 0.8274 0.3276 0.5000
Dy: 0.1726 0.6724 0.5000
Dy: 0.3274 0.1724 0.0000
Dy: 0.6726 0.8276 0.0000
Pd: 0.5000 0.5000 0.2489
Pd: 0.0000 0.0000 0.7489
Pd: 0.5000 0.5000 0.7511
Pd: 0.0000 0.0000 0.2511
Pt: 0.3689 0.8689 0.2500
Pt: 0.6311 0.1311 0.2500
Pt: 0.1311 0.3689 0.7500
Pt: 0.8689 0.6311 0.7500
Pt: 0.8689 0.6311 0.2500
Pt: 0.1311 0.3689 0.2500
Pt: 0.3689 0.8689 0.7500
Pt: 0.6311 0.1311 0.7500

Results
Energy above the most stable polymorph in this dataset (meV/atom): 27.6
E_form (meV/atom): -1084

***

2.
Compound: Ce2YTaN4
Source: Alexandria via LeMat-Bulk
Functional: PBE-GGA
Structure: optimized geometry

Cell lengths 3.3645, 5.8689, 5.9878 Å; angles 108.79, 90.00, 90.00 degrees
Atoms (fractional coordinates):
Ce: 0.5000 0.0000 0.5000
Ce: 0.0000 0.5000 0.5000
Y: 0.5000 0.5000 0.0000
Ta: 0.0000 0.0000 0.0000
N: 0.5000 0.2196 0.2162
N: 0.5000 0.7804 0.7838
N: 0.0000 0.2321 0.7758
N: 0.0000 0.7679 0.2242

Results
Calculated total energy (eV for the cell shown): -75.17

***

3.
Compound: NaAg2Br6
Source: Alexandria via LeMat-Bulk
Functional: PBE-GGA
Structure: optimized geometry

Cell lengths 4.5457, 13.6724, 18.0316 Å; angles 158.12, 90.00, 99.57 degrees
Atoms (fractional coordinates):
Na: 0.0000 0.0000 0.5000
Ag: 0.8103 0.6206 0.9128
Ag: 0.1897 0.3794 0.0872
Br: 0.3392 0.6784 0.0215
Br: 0.6608 0.3216 0.9785
Br: 0.1225 0.2450 0.1465
Br: 0.5689 0.1378 0.4918
Br: 0.8775 0.7550 0.8535
Br: 0.4311 0.8622 0.5082

Results
Energy above the most stable polymorph in this dataset (meV/atom): 0.0

***

What did the second record say?
Compound: Ce2YTaN4
Source: Alexandria via LeMat-Bulk
Functional: PBE-GGA
Structure: optimized geometry

Cell lengths 3.3645, 5.8689, 5.9878 Å; angles 108.79, 90.00, 90.00 degrees
Atoms (fractional coordinates):
Ce: 0.5000 0.0000 0.5000
Ce: 0.0000 0.5000 0.5000
Y: 0.5000 0.5000 0.0000
Ta: 0.0000 0.0000 0.0000
N: 0.5000 0.2196 0.2162
N: 0.5000 0.7804 0.7838
N: 0.0000 0.2321 0.7758
N: 0.0000 0.7679 0.2242

Results
Calculated total energy (eV for the cell shown): -75.17